# TmAl2GaAu4 (GGA-PBE, optimized geometry)
# E (eV/atom): -3.9900
# Energy of formation (eV per atom): -0.478
# Magnetization (μB per cell): 0.00
data_TmAl2GaAu4
_cell_length_a 4.3645
_cell_length_b 4.3645
_cell_length_c 27.5326
_cell_angle_alpha 90.00
_cell_angle_beta 90.00
_cell_angle_gamma 120.00
_space_group_name_H-M_alt 'R -3 m'
_space_group_IT_number 166
_space_group_name_Hall '-R 3 2"'
loop_
_atom_site_label
_atom_site_type_symbol
_atom_site_fract_x
_atom_site_fract_y
_atom_site_fract_z
Tm1 Tm 0.0000 0.0000 0.0000
Al1 Al 0.0000 0.0000 0.2479
Ga1 Ga 0.0000 0.0000 0.5000
Au1 Au 0.0000 0.0000 0.1236
Au2 Au 0.0000 0.0000 0.3922

=====

# TbHo6Th2 (GGA-PBE, optimized geometry)
# E (eV/atom): -5.1432
# Energy of formation (eV per atom): 0.072
# E above lowest polymorph (eV/atom): 0.000
# Magnetization (μB per cell): 0.00
data_TbHo6Th2
_cell_length_a 3.5553
_cell_length_b 3.5553
_cell_length_c 26.1895
_cell_angle_alpha 90.00
_cell_angle_beta 90.00
_cell_angle_gamma 120.00
_space_group_name_H-M_alt 'P -6 m 2'
_space_group_IT_number 187
_space_group_name_Hall 'P -6 2'
loop_
_atom_site_label
_atom_site_type_symbol
_atom_site_fract_x
_atom_site_fract_y
_atom_site_fract_z
Tb1 Tb 0.0000 0.0000 0.0000
Ho1 Ho 0.0000 0.0000 0.2166
Ho2 Ho 0.0000 0.0000 0.4366
Ho3 Ho 0.3333 0.6667 0.1092
Th1 Th 0.3333 0.6667 0.3289

=====

# Pr3Al4 (GGA-PBE, optimized geometry)
# E (eV/atom): -4.5531
# Energy of formation (eV per atom): -0.366
# E above lowest polymorph (eV/atom): 0.025
# Magnetization (μB per cell): 0.32
data_Pr3Al4
_cell_length_a 4.513
_cell_length_b 13.991
_cell_length_c 6.160
_cell_angle_alpha 90.00
_cell_angle_beta 111.47
_cell_angle_gamma 90.00
_space_group_name_H-M_alt 'P 1 21/m 1'
_space_group_IT_number 11
_space_group_name_Hall '-P 2yb'
loop_
_atom_site_label
_atom_site_type_symbol
_atom_site_fract_x
_atom_site_fract_y
_atom_site_fract_z
Pr1 Pr 0.021 0.250 0.041
Pr2 Pr 0.274 0.603 0.550
Al1 Al 0.000 0.000 0.000
Al2 Al 0.307 0.250 0.612
Al3 Al 0.437 0.095 0.874

=====

# NiHg3Pd12 (GGA-PBE, optimized geometry)
# E (eV/atom): -4.3734
# Energy of formation (eV per atom): -0.061
# Magnetization (μB per cell): 1.54
data_NiHg3Pd12
_cell_length_a 4.005
_cell_length_b 4.005
_cell_length_c 16.136
_cell_angle_alpha 90.00
_cell_angle_beta 90.00
_cell_angle_gamma 90.00
_space_group_name_H-M_alt 'P 4/m m m'
_space_group_IT_number 123
_space_group_name_Hall '-P 4 2'
loop_
_atom_site_label
_atom_site_type_symbol
_atom_site_fract_x
_atom_site_fract_y
_atom_site_fract_z
Ni1 Ni 0.000 0.000 0.000
Hg1 Hg 0.000 0.000 0.243
Hg2 Hg 0.000 0.000 0.500
Pd1 Pd 0.000 0.500 0.113
Pd2 Pd 0.000 0.500 0.371
Pd3 Pd 0.500 0.500 0.000
Pd4 Pd 0.500 0.500 0.241
Pd5 Pd 0.500 0.500 0.500